A relaxed structure of Cs2Fe2Cl5, computed with PBE-GGA.

The structure in CIF format:
```
data_Cs2Fe2Cl5
_chemical_formula_sum 'Cs4 Fe4 Cl10'
_cell_length_a 13.100
_cell_length_b 5.132
_cell_length_c 8.388
_cell_angle_alpha 90.00
_cell_angle_beta 101.07
_cell_angle_gamma 90.00
_space_group_name_H-M_alt 'C 1 2/m 1'
_space_group_IT_number 12
loop_
_space_group_symop_operation_xyz
'x,y,z'
'-x,-y,-z'
'-x,y,-z'
'x,-y,z'
'x+1/2,y+1/2,z'
'-x+1/2,-y+1/2,-z'
'-x+1/2,y+1/2,-z'
'x+1/2,-y+1/2,z'
loop_
_atom_site_label
_atom_site_fract_x
_atom_site_fract_y
_atom_site_fract_z
Cs1 0.088 0.000 0.311
Fe1 0.156 0.500 0.900
Cl1 0.000 0.500 0.000
Cl2 0.136 0.500 0.616
Cl3 0.179 0.000 0.925
```

## Properties
raw formation energy: -1088.1 meV per atom
D(E_F): 0.910 states/eV/atom